1.
An optimized crystal structure of Nd2YAu4, computed with PBE-GGA.

a = 5.3015 Å, b = 5.3015 Å, c = 13.0598 Å
α = 90.00°, β = 90.00°, γ = 90.00°
Atoms (fractional coordinates):
Nd (0.0000, 0.0000, 0.2200)
Nd (0.0000, 0.0000, 0.7800)
Nd (0.5000, 0.5000, 0.2800)
Nd (0.5000, 0.5000, 0.7200)
Y (0.0000, 0.0000, 0.5000)
Y (0.5000, 0.5000, 0.0000)
Au (0.0000, 0.5000, 0.1150)
Au (0.0000, 0.5000, 0.3850)
Au (0.0000, 0.5000, 0.6150)
Au (0.0000, 0.5000, 0.8850)
Au (0.5000, 0.0000, 0.1150)
Au (0.5000, 0.0000, 0.3850)
Au (0.5000, 0.0000, 0.6150)
Au (0.5000, 0.0000, 0.8850)

Relative energy among the computed polymorphs = 0 meV/atom
ΔE_f = -671.3 meV/atom
Total energy = -4.83 eV/atom
DOS(E_F) = 0.765 states/eV/atom

=====

2.
An optimized crystal structure of Nd2YAu, computed with PBE-GGA.

a = 3.5803 Å, b = 3.5803 Å, c = 34.1495 Å
α = 90.00°, β = 90.00°, γ = 120.00°
Atoms (fractional coordinates):
Nd (0.0000, 0.0000, 0.0992)
Nd (0.0000, 0.0000, 0.9008)
Nd (0.3333, 0.6667, 0.5674)
Nd (0.3333, 0.6667, 0.7659)
Nd (0.6667, 0.3333, 0.2341)
Nd (0.6667, 0.3333, 0.4326)
Y (0.0000, 0.0000, 0.0000)
Y (0.3333, 0.6667, 0.6667)
Y (0.6667, 0.3333, 0.3333)
Au (0.0000, 0.0000, 0.5000)
Au (0.3333, 0.6667, 0.1667)
Au (0.6667, 0.3333, 0.8333)

Relative energy among the computed polymorphs = 399 meV/atom
ΔE_f = -7.3 meV/atom
Total energy = -4.83 eV/atom
DOS(E_F) = 1.743 states/eV/atom

=====

3.
An optimized crystal structure of Nd2Y2Au3, computed with PBE-GGA.

a = 7.8751 Å, b = 7.8751 Å, c = 7.8751 Å
α = 109.47°, β = 109.47°, γ = 109.47°
Atoms (fractional coordinates):
Nd (0.0000, 0.1435, 0.5000)
Nd (0.1435, 0.5000, 0.0000)
Nd (0.3565, 0.3565, 0.3565)
Nd (0.5000, 0.0000, 0.1435)
Y (0.0000, 0.6362, 0.5000)
Y (0.5000, 0.0000, 0.6362)
Y (0.6362, 0.5000, 0.0000)
Y (0.8638, 0.8638, 0.8638)
Au (0.1126, 0.8626, 0.2500)
Au (0.2500, 0.1126, 0.8626)
Au (0.3874, 0.6374, 0.7500)
Au (0.6374, 0.7500, 0.3874)
Au (0.7500, 0.3874, 0.6374)
Au (0.8626, 0.2500, 0.1126)

ΔE_f = -640.8 meV/atom
Total energy = -5.25 eV/atom
DOS(E_F) = 1.271 states/eV/atom

=====

4.
An optimized crystal structure of NdYAu4, computed with PBE-GGA.

a = 3.8085 Å, b = 3.8085 Å, c = 9.1966 Å
α = 90.00°, β = 90.00°, γ = 90.00°
Atoms (fractional coordinates):
Nd (0.0000, 0.0000, 0.0000)
Y (0.5000, 0.5000, 0.5000)
Au (0.0000, 0.0000, 0.3390)
Au (0.0000, 0.0000, 0.6610)
Au (0.5000, 0.5000, 0.1710)
Au (0.5000, 0.5000, 0.8290)

ΔE_f = -809.6 meV/atom
Total energy = -4.87 eV/atom
DOS(E_F) = 0.282 states/eV/atom